w.
Below is a relaxed structure of ZrBeTl2, with properties calculated at the PBE-GGA level.

## Properties
space group	Pm, No. 6
magnetic moment	0.00	μB/cell

```
data_ZrBeTl2
_space_group_name_H-M_alt 'P 1'
_space_group_IT_number 1
_cell_length_a 4.228
_cell_length_b 3.295
_cell_length_c 6.315
_cell_angle_alpha 80.52
_cell_angle_beta 90.00
_cell_angle_gamma 90.00
loop_
_space_group_symop_operation_xyz
'x,y,z'
loop_
_atom_site_label
_atom_site_type_symbol
_atom_site_fract_x
_atom_site_fract_y
_atom_site_fract_z
Be1 Be 0.500 0.001 0.692
Tl1 Tl 0.000 0.833 0.979
Tl2 Tl 0.500 0.131 0.278
Zr1 Zr 0.000 0.535 0.551
```


x.
Below is a relaxed structure of ZrBeTl2, with properties calculated at the PBE-GGA level.

## Properties
space group	P4/mmm, No. 123
magnetic moment	0.00	μB/cell

```
data_ZrBeTl2
_space_group_name_H-M_alt 'P 1'
_space_group_IT_number 1
_cell_length_a 3.411
_cell_length_b 3.410
_cell_length_c 7.075
_cell_angle_alpha 90.00
_cell_angle_beta 90.00
_cell_angle_gamma 90.00
loop_
_space_group_symop_operation_xyz
'x,y,z'
loop_
_atom_site_label
_atom_site_type_symbol
_atom_site_fract_x
_atom_site_fract_y
_atom_site_fract_z
Be1 Be 0.500 0.500 0.750
Tl1 Tl 0.000 0.000 0.967
Tl2 Tl 0.000 0.000 0.533
Zr1 Zr 0.500 0.500 0.250
```


y.
Below is a relaxed structure of ZrBeTl2, with properties calculated at the PBE-GGA level.

## Properties
space group	Fm-3m, No. 225
magnetic moment	0.00	μB/cell

```
data_ZrBeTl2
_space_group_name_H-M_alt 'P 1'
_space_group_IT_number 1
_cell_length_a 4.967
_cell_length_b 4.967
_cell_length_c 4.967
_cell_angle_alpha 60.00
_cell_angle_beta 60.00
_cell_angle_gamma 60.00
loop_
_space_group_symop_operation_xyz
'x,y,z'
loop_
_atom_site_label
_atom_site_type_symbol
_atom_site_fract_x
_atom_site_fract_y
_atom_site_fract_z
Be1 Be 0.000 0.000 0.000
Tl1 Tl 0.250 0.250 0.250
Tl2 Tl 0.750 0.750 0.750
Zr1 Zr 0.500 0.500 0.500
```


Stability check: which of them is most stable? w.


w.
Below is a relaxed structure of ZrBeTl2, with properties calculated at the PBE-GGA level.

## Properties
space group	Imm2, No. 44
magnetic moment	0.00	μB/cell

```
data_ZrBeTl2
_space_group_name_H-M_alt 'P 1'
_space_group_IT_number 1
_cell_length_a 6.023
_cell_length_b 6.023
_cell_length_c 6.023
_cell_angle_alpha 145.62
_cell_angle_beta 135.90
_cell_angle_gamma 57.09
loop_
_space_group_symop_operation_xyz
'x,y,z'
loop_
_atom_site_label
_atom_site_type_symbol
_atom_site_fract_x
_atom_site_fract_y
_atom_site_fract_z
Be1 Be 0.256 0.756 0.500
Tl1 Tl 0.042 0.042 0.000
Tl2 Tl 0.750 0.250 0.500
Zr1 Zr 0.453 0.453 0.000
```


x.
Below is a relaxed structure of ZrBeTl2, with properties calculated at the PBE-GGA level.

## Properties
space group	P4/mmm, No. 123
magnetic moment	0.00	μB/cell

```
data_ZrBeTl2
_space_group_name_H-M_alt 'P 1'
_space_group_IT_number 1
_cell_length_a 4.297
_cell_length_b 4.381
_cell_length_c 4.381
_cell_angle_alpha 90.00
_cell_angle_beta 90.00
_cell_angle_gamma 90.00
loop_
_space_group_symop_operation_xyz
'x,y,z'
loop_
_atom_site_label
_atom_site_type_symbol
_atom_site_fract_x
_atom_site_fract_y
_atom_site_fract_z
Be1 Be 0.500 0.000 0.500
Tl1 Tl 0.000 0.000 0.000
Tl2 Tl 0.000 0.500 0.500
Zr1 Zr 0.500 0.500 0.000
```


Stability check: which of them is most stable? x.


w.
Below is a relaxed structure of Zr2BeTl, with properties calculated at the PBE-GGA level.

## Properties
space group	C2/m, No. 12
magnetic moment	0.00	μB/cell

```
data_Zr2BeTl
_space_group_name_H-M_alt 'P 1'
_space_group_IT_number 1
_cell_length_a 4.948
_cell_length_b 4.948
_cell_length_c 5.611
_cell_angle_alpha 74.08
_cell_angle_beta 74.08
_cell_angle_gamma 39.74
loop_
_space_group_symop_operation_xyz
'x,y,z'
loop_
_atom_site_label
_atom_site_type_symbol
_atom_site_fract_x
_atom_site_fract_y
_atom_site_fract_z
Be1 Be 0.750 0.750 0.750
Tl1 Tl 0.250 0.250 0.250
Zr1 Zr 0.020 0.020 0.965
Zr2 Zr 0.480 0.480 0.535
```


x.
Below is a relaxed structure of Zr2BeTl, with properties calculated at the PBE-GGA level.

## Properties
space group	I-4m2, No. 119
magnetic moment	0.00	μB/cell

```
data_Zr2BeTl
_space_group_name_H-M_alt 'P 1'
_space_group_IT_number 1
_cell_length_a 5.539
_cell_length_b 5.539
_cell_length_c 5.539
_cell_angle_alpha 136.18
_cell_angle_beta 136.18
_cell_angle_gamma 63.70
loop_
_space_group_symop_operation_xyz
'x,y,z'
loop_
_atom_site_label
_atom_site_type_symbol
_atom_site_fract_x
_atom_site_fract_y
_atom_site_fract_z
Be1 Be 0.500 0.500 0.000
Tl1 Tl 0.750 0.250 0.500
Zr1 Zr 0.000 0.000 0.000
Zr2 Zr 0.250 0.750 0.500
```


y.
Below is a relaxed structure of Zr2BeTl, with properties calculated at the PBE-GGA level.

## Properties
space group	Pmm2, No. 25
magnetic moment	0.00	μB/cell

```
data_Zr2BeTl
_space_group_name_H-M_alt 'P 1'
_space_group_IT_number 1
_cell_length_a 3.288
_cell_length_b 4.115
_cell_length_c 6.184
_cell_angle_alpha 90.00
_cell_angle_beta 90.00
_cell_angle_gamma 90.00
loop_
_space_group_symop_operation_xyz
'x,y,z'
loop_
_atom_site_label
_atom_site_type_symbol
_atom_site_fract_x
_atom_site_fract_y
_atom_site_fract_z
Be1 Be 0.000 0.000 0.458
Tl1 Tl 0.500 0.500 0.746
Zr1 Zr 0.000 0.000 0.019
Zr2 Zr 0.500 0.500 0.278
```


z.
Below is a relaxed structure of Zr2BeTl, with properties calculated at the PBE-GGA level.

## Properties
space group	Cmm2, No. 35
magnetic moment	0.00	μB/cell

```
data_Zr2BeTl
_space_group_name_H-M_alt 'P 1'
_space_group_IT_number 1
_cell_length_a 3.155
_cell_length_b 3.155
_cell_length_c 8.052
_cell_angle_alpha 90.00
_cell_angle_beta 90.00
_cell_angle_gamma 90.21
loop_
_space_group_symop_operation_xyz
'x,y,z'
loop_
_atom_site_label
_atom_site_type_symbol
_atom_site_fract_x
_atom_site_fract_y
_atom_site_fract_z
Be1 Be 0.000 0.000 0.501
Tl1 Tl 0.500 0.500 0.707
Zr1 Zr 0.000 0.000 0.001
Zr2 Zr 0.500 0.500 0.292
```


Stability check: which of them is most stable? x.


w.
Below is a relaxed structure of Zr2Be2Tl, with properties calculated at the PBE-GGA level.

## Properties
space group	I4/mmm, No. 139
magnetic moment	0.00	μB/cell

```
data_Zr2Be2Tl
_space_group_name_H-M_alt 'P 1'
_space_group_IT_number 1
_cell_length_a 6.013
_cell_length_b 6.013
_cell_length_c 6.013
_cell_angle_alpha 138.43
_cell_angle_beta 138.43
_cell_angle_gamma 60.24
loop_
_space_group_symop_operation_xyz
'x,y,z'
loop_
_atom_site_label
_atom_site_type_symbol
_atom_site_fract_x
_atom_site_fract_y
_atom_site_fract_z
Zr1 Zr 0.250 0.750 0.500
Zr2 Zr 0.750 0.250 0.500
Be1 Be 0.598 0.598 0.000
Be2 Be 0.402 0.402 0.000
Tl1 Tl 0.000 0.000 0.000
```


x.
Below is a relaxed structure of Zr2Be2Tl, with properties calculated at the PBE-GGA level.

## Properties
space group	P4/mbm, No. 127
magnetic moment	0.00	μB/cell

```
data_Zr2Be2Tl
_space_group_name_H-M_alt 'P 1'
_space_group_IT_number 1
_cell_length_a 6.525
_cell_length_b 6.525
_cell_length_c 3.984
_cell_angle_alpha 90.00
_cell_angle_beta 90.00
_cell_angle_gamma 90.00
loop_
_space_group_symop_operation_xyz
'x,y,z'
loop_
_atom_site_label
_atom_site_type_symbol
_atom_site_fract_x
_atom_site_fract_y
_atom_site_fract_z
Be1 Be 0.382 0.882 0.000
Be2 Be 0.882 0.618 0.000
Be3 Be 0.618 0.118 0.000
Be4 Be 0.118 0.382 0.000
Tl1 Tl 0.000 0.000 0.000
Tl2 Tl 0.500 0.500 0.000
Zr1 Zr 0.166 0.666 0.500
Zr2 Zr 0.666 0.834 0.500
Zr3 Zr 0.834 0.334 0.500
Zr4 Zr 0.334 0.166 0.500
```


Stability check: which of them is most stable? x.